Record 1
The following is a PBE-GGA calculation of a relaxed structure of Cu2NiCl, from Alexandria.

The calculation puts the density of states at the Fermi level at 4.44 states/eV/cell. The calculation puts the volume at 55.0 Å³ per cell. The mass density is 6.68 g cm⁻³. The energy above the lowest structure with this stoichiometry is 120 meV/atom. Its size of the total moment is 0.37 μB per formula unit.

```
data_Cu2NiCl
_symmetry_space_group_name_H-M 'P 4 m m'
_symmetry_Int_Tables_number 99
_symmetry_space_group_name_Hall 'P 4 -2'
_cell_length_a 3.028
_cell_length_b 3.028
_cell_length_c 6.003
_cell_angle_alpha 90.00
_cell_angle_beta 90.00
_cell_angle_gamma 90.00
loop_
_atom_site_label
_atom_site_fract_x
_atom_site_fract_y
_atom_site_fract_z
Cu1 0.000 0.000 0.000
Cu2 0.500 0.500 0.218
Ni1 0.000 0.000 0.428
Cl1 0.500 0.500 0.696
```

---

Record 2
The following is a PBE-GGA calculation of a relaxed structure of CuNiCl, from Alexandria.

The calculation puts the density of states at the Fermi level at 8.91 states/eV/cell. The calculation puts the volume at 179.7 Å³ per cell. The mass density is 5.83 g cm⁻³. The energy above the lowest structure with this stoichiometry is 78 meV/atom. Its size of the total moment is 0.63 μB per formula unit.

```
data_CuNiCl
_symmetry_space_group_name_H-M 'F m m 2'
_symmetry_Int_Tables_number 42
_symmetry_space_group_name_Hall 'F 2 -2'
_cell_length_a 3.103
_cell_length_b 5.251
_cell_length_c 11.027
_cell_angle_alpha 90.00
_cell_angle_beta 90.00
_cell_angle_gamma 90.00
loop_
_atom_site_label
_atom_site_fract_x
_atom_site_fract_y
_atom_site_fract_z
Cu1 0.000 0.000 0.000
Ni1 0.000 0.000 0.335
Cl1 0.000 0.000 0.680
```

---

Record 3
The following is a PBE-GGA calculation of a relaxed structure of CuNiCl2, from Alexandria.

The calculation puts the density of states at the Fermi level at 26.11 states/eV/cell. The calculation puts the volume at 265.1 Å³ per cell. The mass density is 4.84 g cm⁻³. The energy above the lowest structure with this stoichiometry is 858 meV/atom. Its size of the total moment is 1.12 μB per formula unit.

```
data_CuNiCl2
_symmetry_space_group_name_H-M 'F -4 3 m'
_symmetry_Int_Tables_number 216
_symmetry_space_group_name_Hall 'F -4 2 3'
_cell_length_a 6.424
_cell_length_b 6.424
_cell_length_c 6.424
_cell_angle_alpha 90.00
_cell_angle_beta 90.00
_cell_angle_gamma 90.00
loop_
_atom_site_label
_atom_site_fract_x
_atom_site_fract_y
_atom_site_fract_z
Cu1 0.000 0.000 0.000
Ni1 0.250 0.250 0.250
Cl1 0.000 0.000 0.500
Cl2 0.250 0.250 0.750
```

---

Record 4
The following is a PBE-GGA calculation of a relaxed structure of CuNi2Cl, from Alexandria.

The calculation puts the density of states at the Fermi level at 6.56 states/eV/cell. The calculation puts the volume at 52.2 Å³ per cell. The mass density is 6.89 g cm⁻³. The energy above the lowest structure with this stoichiometry is 159 meV/atom. Its size of the total moment is 1.12 μB per formula unit.

```
data_CuNi2Cl
_symmetry_space_group_name_H-M 'P 4/m m m'
_symmetry_Int_Tables_number 123
_symmetry_space_group_name_Hall '-P 4 2'
_cell_length_a 2.964
_cell_length_b 2.964
_cell_length_c 5.940
_cell_angle_alpha 90.00
_cell_angle_beta 90.00
_cell_angle_gamma 90.00
loop_
_atom_site_label
_atom_site_fract_x
_atom_site_fract_y
_atom_site_fract_z
Cu1 0.000 0.000 0.000
Ni1 0.500 0.500 0.223
Cl1 0.000 0.000 0.500
```

---

Record 5
The following is a PBE-GGA calculation of a relaxed structure of Cu2NiCl, from Alexandria.

The calculation puts the density of states at the Fermi level at 9.38 states/eV/cell. The calculation puts the volume at 220.1 Å³ per cell. The mass density is 6.68 g cm⁻³. The energy above the lowest structure with this stoichiometry is 460 meV/atom. Its size of the total moment is 0.01 μB per formula unit.

```
data_Cu2NiCl
_symmetry_space_group_name_H-M 'F m -3 m'
_symmetry_Int_Tables_number 225
_symmetry_space_group_name_Hall '-F 4 2 3'
_cell_length_a 6.038
_cell_length_b 6.038
_cell_length_c 6.038
_cell_angle_alpha 90.00
_cell_angle_beta 90.00
_cell_angle_gamma 90.00
loop_
_atom_site_label
_atom_site_fract_x
_atom_site_fract_y
_atom_site_fract_z
Cu1 0.250 0.250 0.250
Ni1 0.000 0.000 0.000
Cl1 0.000 0.000 0.500
```

---

Record 6
The following is a PBE-GGA calculation of a relaxed structure of CuNi2Cl, from Alexandria.

The calculation puts the density of states at the Fermi level at 6.17 states/eV/cell. The calculation puts the volume at 56.5 Å³ per cell. The mass density is 6.36 g cm⁻³. The energy above the lowest structure with this stoichiometry is 20 meV/atom. Its size of the total moment is 0.88 μB per formula unit.

```
data_CuNi2Cl
_symmetry_space_group_name_H-M 'P m m m'
_symmetry_Int_Tables_number 47
_symmetry_space_group_name_Hall '-P 2 2'
_cell_length_a 2.867
_cell_length_b 3.163
_cell_length_c 6.228
_cell_angle_alpha 90.00
_cell_angle_beta 90.00
_cell_angle_gamma 90.00
loop_
_atom_site_label
_atom_site_fract_x
_atom_site_fract_y
_atom_site_fract_z
Cu1 0.000 0.000 0.000
Ni1 0.500 0.500 0.202
Cl1 0.000 0.500 0.500
```